The following is a DFT calculation (PBE) of an optimized crystal structure of La5NdCd4.

Geometry as CIF:
```
data_La5NdCd4
_chemical_formula_sum 'La5 Nd1 Cd4'
_cell_length_a 3.8848
_cell_length_b 3.8848
_cell_length_c 21.0225
_cell_angle_alpha 90.00
_cell_angle_beta 90.00
_cell_angle_gamma 90.00
_space_group_name_H-M_alt 'P 4/m m m'
_space_group_IT_number 123
_space_group_name_Hall '-P 4 2'
loop_
_atom_site_label
_atom_site_type_symbol
_atom_site_fract_x
_atom_site_fract_y
_atom_site_fract_z
_atom_site_occupancy
La1 La 0.0000 0.0000 0.0000 1
La2 La 0.0000 0.0000 0.1903 1
La3 La 0.0000 0.0000 0.3813 1
Nd1 Nd 0.5000 0.5000 0.5000 1
Cd1 Cd 0.5000 0.5000 0.0949 1
Cd2 Cd 0.5000 0.5000 0.2878 1
```

Calculated values
Total magnetization ... 0.45 μB per formula unit
Formation energy from the elements ... -0.256 eV/atom
Volume ... 317.27 Å³ per cell